Material: CaH11Rh5
Method: DFT, PBE-GGA
State: optimized geometry

Unit cell a=5.276 b=10.028 c=6.043 alpha=90.00 beta=100.48 gamma=90.00
Space group C2/m (No. 12)
Asymmetric unit:
1 Ca 0.000 0.000 0.000 x2
2 H 0.000 0.000 0.500 x2
3 H 0.024 0.500 0.308 x4
4 H 0.065 0.206 0.339 x8
5 H 0.170 0.352 0.097 x8
6 Rh 0.000 0.500 0.000 x2
7 Rh 0.248 0.361 0.379 x8

## Properties
V, Å³ per cell: 314.4
Total DFT energy (no corrections), eV for the cell shown: -153.52
Spin magnetization, μB per cell: 0.0

Material: Pr2NdSb2
Method: DFT, PBE-GGA
State: optimized geometry

Unit cell a=7.040 b=6.331 c=7.774 alpha=90.00 beta=110.15 gamma=90.00
Space group C2/m (No. 12)
Asymmetric unit:
1 Pr 0.000 0.245 0.000 x4
2 Nd 0.000 0.500 0.500 x2
3 Sb 0.145 0.000 0.699 x4

## Properties
V, Å³ per cell: 325.3
Total DFT energy (no corrections), eV for the cell shown: -51.74
Spin magnetization, μB per cell: 0.0
ΔE_f (raw), eV per atom: -0.66

Material: CuRe2Mo
Method: DFT, PBE-GGA
State: optimized geometry

Unit cell a=3.216 b=3.216 c=5.627 alpha=90.00 beta=90.00 gamma=90.00
Space group P4/mmm (No. 123)
Asymmetric unit:
1 Cu 0.000 0.000 0.000 x1
2 Re 0.500 0.500 0.233 x2
3 Mo 0.000 0.000 0.500 x1

## Properties
V, Å³ per cell: 58.2
Total DFT energy (no corrections), eV for the cell shown: -38.76
Spin magnetization, μB per cell: 0.0
Energy above the most stable polymorph in this dataset, meV per atom: 92

Material: SrNi2Te
Method: DFT, PBE-GGA
State: optimized geometry

Unit cell a=6.716 b=6.716 c=6.716 alpha=90.00 beta=90.00 gamma=90.00
Space group Fm-3m (No. 225)
Asymmetric unit:
1 Sr 0.000 0.000 0.000 x4
2 Ni 0.250 0.250 0.250 x8
3 Te 0.000 0.000 0.500 x4

## Properties
V, Å³ per cell: 302.9
Total DFT energy (no corrections), eV for the cell shown: -65.67
Spin magnetization, μB per cell: 0.0
Energy above the most stable polymorph in this dataset, meV per atom: 368
ΔE_f (raw), eV per atom: -0.01

Material: NaTc3As3
Method: DFT, PBE-GGA
State: optimized geometry

Unit cell a=6.6822 b=6.6822 c=23.7176 alpha=90.00 beta=90.00 gamma=120.00
Space group R-3 (No. 148, hexagonal axes)
Asymmetric unit:
1 Na 0.0000 0.0000 0.1622 x6
2 Tc 0.0168 0.7083 0.6396 x18
3 As 0.0153 0.6504 0.4109 x18

## Properties
V, Å³ per cell: 917.2
Total DFT energy (no corrections), eV for the cell shown: -282.67
Spin magnetization, μB per cell: 0.0

Material: Ca3Tl5In
Method: DFT, PBE-GGA
State: optimized geometry

Unit cell a=9.5052 b=9.5052 c=6.6319 alpha=90.00 beta=90.00 gamma=120.00
Space group P6_3/mcm (No. 193)
Asymmetric unit:
1 Ca 0.0000 0.3371 0.2500 x6
2 Tl 0.0000 0.3270 0.7500 x6
3 Tl 0.3333 0.6667 0.0000 x4
4 In 0.0000 0.0000 0.0000 x2

## Properties
V, Å³ per cell: 518.9
Total DFT energy (no corrections), eV for the cell shown: -46.21
Spin magnetization, μB per cell: 0.0
Energy above the most stable polymorph in this dataset, meV per atom: 0

Material: Li3Zn2Ga9
Method: DFT, PBE-GGA
State: optimized geometry

Unit cell a=4.374 b=9.546 c=11.912 alpha=90.00 beta=90.00 gamma=90.00
Space group Immm (No. 71)
Asymmetric unit:
1 Li 0.000 0.000 0.000 x2
2 Li 0.000 0.000 0.277 x4
3 Zn 0.000 0.152 0.500 x4
4 Ga 0.000 0.283 0.151 x8
5 Ga 0.000 0.368 0.364 x8
6 Ga 0.000 0.500 0.000 x2

## Properties
V, Å³ per cell: 497.3
Total DFT energy (no corrections), eV for the cell shown: -75.10
Spin magnetization, μB per cell: 0.0

Material: YSiTe2I
Method: DFT, PBE-GGA
State: optimized geometry

Unit cell a=5.916 b=5.916 c=5.775 alpha=90.00 beta=90.00 gamma=90.00
Space group P4/mmm (No. 123)
Asymmetric unit:
1 Y 0.000 0.000 0.000 x1
2 Si 0.500 0.500 0.500 x1
3 Te 0.000 0.500 0.000 x2
4 I 0.000 0.000 0.500 x1

## Properties
V, Å³ per cell: 202.1
Total DFT energy (no corrections), eV for the cell shown: -19.15
Spin magnetization, μB per cell: 0.0
Energy above the most stable polymorph in this dataset, meV per atom: 215
ΔE_f (raw), eV per atom: 0.11

Repeat the fifth record exactly.
Material: NaTc3As3
Method: DFT, PBE-GGA
State: optimized geometry

Unit cell a=6.6822 b=6.6822 c=23.7176 alpha=90.00 beta=90.00 gamma=120.00
Space group R-3 (No. 148, hexagonal axes)
Asymmetric unit:
1 Na 0.0000 0.0000 0.1622 x6
2 Tc 0.0168 0.7083 0.6396 x18
3 As 0.0153 0.6504 0.4109 x18

## Properties
V, Å³ per cell: 917.2
Total DFT energy (no corrections), eV for the cell shown: -282.67
Spin magnetization, μB per cell: 0.0

Repeat the first record exactly.
Material: CaH11Rh5
Method: DFT, PBE-GGA
State: optimized geometry

Unit cell a=5.276 b=10.028 c=6.043 alpha=90.00 beta=100.48 gamma=90.00
Space group C2/m (No. 12)
Asymmetric unit:
1 Ca 0.000 0.000 0.000 x2
2 H 0.000 0.000 0.500 x2
3 H 0.024 0.500 0.308 x4
4 H 0.065 0.206 0.339 x8
5 H 0.170 0.352 0.097 x8
6 Rh 0.000 0.500 0.000 x2
7 Rh 0.248 0.361 0.379 x8

## Properties
V, Å³ per cell: 314.4
Total DFT energy (no corrections), eV for the cell shown: -153.52
Spin magnetization, μB per cell: 0.0